Here is BeReMo2 after structural relaxation from Alexandria via LeMat-Bulk. Energies are from GGA-PBE.

Calculated values
Its raw total energy is -74.62 eV for the cell shown.

Cell: 3.1913 4.3333 8.1403 Å, 90.00 90.00 90.00°
With the nearest neighbours (Å) after each atom.
Space group Cmmm (No. 65)
Inequivalent atoms, fractional coordinates:
Be (0.0000, 0.0000, 0.0000) x2  4 Mo 2.45, 4 Be 2.69
Re (0.0000, 0.0000, 0.5000) x2  4 Re 2.69, 4 Mo 2.73
Mo (0.0000, 0.5000, 0.2278) x4  2 Be 2.45, 4 Mo 2.69, 2 Re 2.73

***

Here is BeReMo2 after structural relaxation from Alexandria via LeMat-Bulk. Energies are from GGA-PBE.

Calculated values
Its raw total energy is -109.97 eV for the cell shown.

Cell: 2.7907 2.7907 25.4338 Å, 90.00 90.00 120.00°
With the nearest neighbours (Å) after each atom.
Space group R3m (No. 160, hexagonal axes)
Inequivalent atoms, fractional coordinates:
Be (0.0000, 0.0000, 0.0000) x3  3 Re 2.48, 3 Mo 2.58
Re (0.0000, 0.0000, 0.2593) x3  3 Be 2.48, 3 Mo 2.74
Mo (0.0000, 0.0000, 0.5056) x3  3 Re 2.74, 9 Mo 2.79-2.87
Mo (0.0000, 0.0000, 0.7457) x3  3 Be 2.58, 9 Mo 2.79-2.87

***

Here is BeRe2Mo2 after structural relaxation from Alexandria via LeMat-Bulk. Energies are from GGA-PBE.

Calculated values
The distance to the lowest polymorph of the same formula is 0.317 eV/atom.

Cell: 4.2147 4.2147 10.4708 Å, 90.00 90.00 90.00°
With the nearest neighbours (Å) after each atom.
Space group I4/mmm (No. 139)
Inequivalent atoms, fractional coordinates:
Be (0.0000, 0.0000, 0.0000) x2  8 Re 3.23, 8 Mo 3.36
Re (0.0000, 0.0000, 0.3816) x4  1 Re 2.48, 4 Mo 2.52
Mo (0.0000, 0.5000, 0.2500) x4  4 Re 2.52

***

Here is BeRe3Mo after structural relaxation from Alexandria via LeMat-Bulk. Energies are from GGA-PBE.

Calculated values
The distance to the lowest polymorph of the same formula is 0.000 eV/atom.

Cell: 4.1451 4.1451 4.1451 Å, 90.00 90.00 90.00°
With the nearest neighbours (Å) after each atom.
Space group Pm-3m (No. 221)
Inequivalent atoms, fractional coordinates:
Be (0.0000, 0.0000, 0.0000) x1  6 Re 2.07
Re (0.0000, 0.0000, 0.5000) x3  2 Be 2.07
Mo (0.5000, 0.5000, 0.5000) x1  12 Re 2.93

***

Here is BeReMo after structural relaxation from Alexandria via LeMat-Bulk. Energies are from GGA-PBE.

Calculated values
The distance to the lowest polymorph of the same formula is 0.280 eV/atom.

Cell: 4.2535 4.2535 2.6406 Å, 90.00 90.00 120.00°
With the nearest neighbours (Å) after each atom.
Space group P3m1 (No. 156)
Inequivalent atoms, fractional coordinates:
Be (0.0000, 0.0000, 0.0000) x1  3 Re 2.59, 2 Be 2.64, 3 Mo 2.67
Re (0.3333, 0.6667, 0.6937) x1  3 Mo 2.58, 3 Be 2.59, 2 Re 2.64
Mo (0.6667, 0.3333, 0.3948) x1  3 Re 2.58, 2 Mo 2.64, 3 Be 2.67

***

Here is BeReMo2 after structural relaxation from Alexandria via LeMat-Bulk. Energies are from GGA-PBE.

Calculated values
Its raw total energy is -74.79 eV for the cell shown.

Cell: 3.1169 4.2213 8.6118 Å, 90.00 90.00 90.00°
With the nearest neighbours (Å) after each atom.
Space group Immm (No. 71)
Inequivalent atoms, fractional coordinates:
Be (0.0000, 0.0000, 0.0000) x2  4 Re 2.62, 4 Mo 2.68
Re (0.0000, 0.0000, 0.5000) x2  4 Be 2.62, 4 Mo 2.64
Mo (0.0000, 0.5000, 0.2468) x4  4 Mo 2.62, 2 Re 2.64, 2 Be 2.68

***

Here is Be9Re2Mo after structural relaxation from Alexandria via LeMat-Bulk. Energies are from GGA-PBE.

Calculated values
Its raw total energy is -216.97 eV for the cell shown.

Cell: 4.3505 4.3505 20.7753 Å, 90.00 90.00 120.00°
With the nearest neighbours (Å) after each atom.
Space group R-3m (No. 166, hexagonal axes)
Inequivalent atoms, fractional coordinates:
Be (0.0000, 0.0000, 0.0000) x3  6 Be 2.17
Be (0.0000, 0.0000, 0.1662) x6  6 Be 2.11-2.12
Be (0.0031, 0.5015, 0.4182) x18  7 Be 2.11-2.20
Re (0.0000, 0.0000, 0.3536) x6  12 Be 2.51-2.56, 3 Re 2.65
Mo (0.0000, 0.0000, 0.5000) x3  18 Be 2.51-2.76

***

Here is BeReMo3 after structural relaxation from Alexandria via LeMat-Bulk. Energies are from GGA-PBE.

Calculated values
The distance to the lowest polymorph of the same formula is 0.000 eV/atom.

Cell: 4.2005 4.2005 4.2005 Å, 90.00 90.00 90.00°
With the nearest neighbours (Å) after each atom.
Space group Pm-3m (No. 221)
Inequivalent atoms, fractional coordinates:
Be (0.0000, 0.0000, 0.0000) x1  6 Mo 2.10
Re (0.5000, 0.5000, 0.5000) x1  12 Mo 2.97
Mo (0.0000, 0.0000, 0.5000) x3  2 Be 2.10

***

Here is Be9ReMo2 after structural relaxation from Alexandria via LeMat-Bulk. Energies are from GGA-PBE.

Calculated values
Its raw total energy is -141.28 eV for the cell shown.

Cell: 4.3737 4.3737 13.8186 Å, 90.00 90.00 120.00°
With the nearest neighbours (Å) after each atom.
Space group P6_3/mmc (No. 194)
Inequivalent atoms, fractional coordinates:
Be (0.0000, 0.0000, 0.0000) x2  6 Be 2.18
Be (0.0000, 0.0000, 0.2500) x2  6 Be 2.11
Be (0.1680, 0.3361, 0.1284) x12  7 Be 2.10-2.20
Be (0.3333, 0.6667, 0.2500) x2  6 Be 2.10
Re (0.3333, 0.6667, 0.7500) x2  18 Be 2.53-2.76
Mo (0.3333, 0.6667, 0.5322) x4  12 Be 2.55-2.56, 3 Mo 2.68

***

Here is BeRe2Mo2 after structural relaxation from Alexandria via LeMat-Bulk. Energies are from GGA-PBE.

Calculated values
The distance to the lowest polymorph of the same formula is 0.000 eV/atom.

Cell: 7.3969 7.3969 2.9506 Å, 90.00 90.00 90.00°
With the nearest neighbours (Å) after each atom.
Space group P4/mbm (No. 127)
Inequivalent atoms, fractional coordinates:
Be (0.0000, 0.0000, 0.0000) x2  4 Re 2.85, 2 Be 2.95, 8 Mo 3.15
Re (0.1428, 0.3572, 0.0000) x4  6 Mo 2.55-2.67, 2 Be 2.85
Mo (0.1580, 0.6580, 0.5000) x4  6 Re 2.55-2.67

***

Here is Be2ReMo2 after structural relaxation from Alexandria via LeMat-Bulk. Energies are from GGA-PBE.

Calculated values
Its raw total energy is -85.43 eV for the cell shown.

Cell: 6.2085 6.2085 3.1822 Å, 90.00 90.00 90.00°
With the nearest neighbours (Å) after each atom.
Space group P4/mbm (No. 127)
Inequivalent atoms, fractional coordinates:
Be (0.1199, 0.3801, 0.0000) x4  1 Be 2.11
Re (0.0000, 0.0000, 0.0000) x2  4 Be 2.47
Mo (0.1751, 0.6751, 0.5000) x4  6 Be 2.40-2.45

***

Here is BeRe4Mo after structural relaxation from Alexandria via LeMat-Bulk. Energies are from GGA-PBE.

Calculated values
Its raw total energy is -245.62 eV for the cell shown.

Cell: 7.2462 7.2462 7.2462 Å, 90.00 90.00 90.00°
With the nearest neighbours (Å) after each atom.
Space group F-43m (No. 216)
Inequivalent atoms, fractional coordinates:
Be (0.0000, 0.0000, 0.0000) x4  12 Re 3.00, 4 Mo 3.14
Re (0.1258, 0.1258, 0.6258) x16  6 Re 2.55-2.58
Mo (0.2500, 0.2500, 0.2500) x4  12 Re 3.01, 4 Be 3.14

***

no.,D(E_F) (states/eV per cell),M_tot (μB/f.u.)
1,5.0,0.00
2,11.1,0.00
3,4.8,0.00
4,5.2,0.00
5,1.8,0.00
6,7.6,0.00
7,9.2,0.00
8,5.2,0.00
9,3.9,0.00
10,6.4,0.00
11,6.7,0.00
12,24.0,0.00